# 1
This record from the Alexandria database describes a geometry-optimized ScSiNi2 structure. The functional is PBE-GGA.

Cell: 3.9406 3.9406 8.4850 Å, 76.57 76.57 90.00°
Sites, in units of the cell vectors:
Sc (0.0000, 0.0000, 0.0000)
Sc (0.7500, 0.2500, 0.5000)
Ni (0.5465, 0.1250, 0.2500)
Ni (0.2035, 0.6250, 0.2500)
Ni (0.3750, 0.4535, 0.7500)
Ni (0.8750, 0.7965, 0.7500)
Si (0.5000, 0.5000, 0.0000)
Si (0.2500, 0.7500, 0.5000)

The space group is I-42d, No. 122.

---

# 2
This record from the Alexandria database describes a geometry-optimized ScSiNi structure. The functional is PBE-GGA.

Cell: 5.3777 5.3773 2.9931 Å, 73.85 73.83 32.32°
Each line ends with the local moment (μB).
Sites, in units of the cell vectors:
Ni (0.0284, 0.0284, 0.9716)  0.01
Sc (0.3349, 0.3349, 0.6651)  0.10
Si (0.6367, 0.6367, 0.3633)  0.00

The space group is I4mm, No. 107.

---

Number 1: E_form (uncorrected) -0.21 eV/atom, N(E_F) 3.25 states/eV/f.u.. Number 2: E_form (uncorrected) -0.54 eV/atom, N(E_F) 1.93 states/eV/f.u..